Cu2RhC: relaxed, PBE.

Cell lengths 4.2637, 4.2637, 6.7562 Å; angles 71.61, 71.61, 90.00 degrees
With the nearest neighbours (Å) after each atom.
Sites, in units of the cell vectors:
Rh1 0.0000 0.0000 0.0000  4 Cu 2.52
Rh2 0.7500 0.2500 0.5000  4 Cu 2.52
C1 0.2500 0.7500 0.5000  4 Cu 1.90
C2 0.5000 0.5000 0.0000  4 Cu 1.90
Cu1 0.4724 0.1250 0.2500  2 C 1.90
Cu2 0.8750 0.7224 0.7500  2 C 1.90
Cu3 0.2776 0.6250 0.2500  2 C 1.90
Cu4 0.3750 0.5276 0.7500  2 C 1.90

Properties
Electronic total energy, eV per atom: -4.9873
Size of the total moment, μB/f.u.: 0.0
Formation energy, eV per formula unit: 4.82